A plane-wave DFT calculation with PBE-GGA was carried out for a relaxed structure of AlHgI2.

Results
The uncorrected formation energy comes out at 0.079 eV/atom. As for the density of states at the Fermi level: 12.3 states/eV/cell.

CIF file:
```
data_AlHgI2
_space_group_name_H-M_alt 'F m -3 m'
_space_group_IT_number 225
_space_group_name_Hall '-F 4 2 3'
_cell_length_a 7.936
_cell_length_b 7.936
_cell_length_c 7.936
_cell_angle_alpha 90.00
_cell_angle_beta 90.00
_cell_angle_gamma 90.00
loop_
_atom_site_label
_atom_site_type_symbol
_atom_site_fract_x
_atom_site_fract_y
_atom_site_fract_z
_atom_site_occupancy
Al1 Al 0.000 0.000 0.000 1
Hg1 Hg 0.000 0.000 0.500 1
I1 I 0.250 0.250 0.250 1
```